*w*
The following is a PBE calculation of an optimized crystal structure of NdHo7Tm2, from Alexandria via LeMat-Bulk.

CIF file:
```
data_NdHo7Tm2
_space_group_name_H-M_alt 'P 1'
_space_group_IT_number 1
_cell_length_a 5.605
_cell_length_b 9.075
_cell_length_c 9.075
_cell_angle_alpha 122.55
_cell_angle_beta 90.00
_cell_angle_gamma 90.00
loop_
_space_group_symop_operation_xyz
'x,y,z'
loop_
_atom_site_label
_atom_site_type_symbol
_atom_site_fract_x
_atom_site_fract_y
_atom_site_fract_z
Nd1 Nd 0.000 0.000 0.000
Ho1 Ho 0.000 0.782 0.218
Ho2 Ho 0.000 0.218 0.782
Ho3 Ho 0.500 0.061 0.293
Ho4 Ho 0.500 0.939 0.707
Ho5 Ho 0.500 0.293 0.061
Ho6 Ho 0.500 0.707 0.939
Ho7 Ho 0.500 0.500 0.500
Tm1 Tm 0.500 0.703 0.297
Tm2 Tm 0.500 0.297 0.703
```


*x*
The following is a PBE calculation of an optimized crystal structure of NdHo7Tm2, from Alexandria via LeMat-Bulk.

CIF file:
```
data_NdHo7Tm2
_space_group_name_H-M_alt 'P 1'
_space_group_IT_number 1
_cell_length_a 6.111
_cell_length_b 10.585
_cell_length_c 11.157
_cell_angle_alpha 137.57
_cell_angle_beta 56.81
_cell_angle_gamma 140.29
loop_
_space_group_symop_operation_xyz
'x,y,z'
loop_
_atom_site_label
_atom_site_type_symbol
_atom_site_fract_x
_atom_site_fract_y
_atom_site_fract_z
Nd1 Nd 0.000 0.000 0.000
Ho1 Ho 0.101 0.900 0.599
Ho2 Ho 0.899 0.100 0.401
Ho3 Ho 0.300 0.699 0.798
Ho4 Ho 0.700 0.301 0.202
Ho5 Ho 0.198 0.801 0.202
Ho6 Ho 0.802 0.199 0.798
Ho7 Ho 0.500 0.500 0.000
Tm1 Tm 0.401 0.601 0.401
Tm2 Tm 0.599 0.399 0.599
```


Each structure's energy above the most stable one, in meV per atom: *w* 684; *x* 0.